Record 1
Nd3YGe2 | PBE | relaxed

Cell: 4.472 4.565 8.851 Å, 104.95 104.58 90.00°
Element x y z (fractional)
Nd 0.819 0.319 0.638
Nd 0.181 0.681 0.362
Y 0.000 0.000 0.000
Nd 0.500 0.500 0.000
Ge 0.367 0.867 0.734
Ge 0.633 0.133 0.266

## Properties
Its volume is 169 Å³/cell. For the calculated total energy, the calculation gives -33.663 eV for the cell shown. The symmetry is C2/m. Its magnetization is 0.0 Bohr magnetons per cell. The calculation puts the energy of formation from the pure elements at -0.610 eV/atom.



Record 2
PmPr4Se6 | PBE | relaxed

Cell: 8.432 8.432 8.432 Å, 88.95 88.95 91.05°
Element x y z (fractional)
Pr 0.750 0.750 0.250
Se 0.913 0.678 0.939
Se 0.061 0.913 0.322
Se 0.322 0.939 0.913
Se 0.587 0.439 0.178
Pr 0.137 0.750 0.637
Pr 0.250 0.637 0.137
Pr 0.637 0.863 0.750
Pr 0.250 0.250 0.750
Pm 0.500 0.500 0.500
Se 0.939 0.087 0.678
Se 0.178 0.413 0.439
Pr 0.363 0.137 0.250
Pr 0.750 0.363 0.863
Se 0.561 0.178 0.587
Pr 0.863 0.250 0.363
Se 0.413 0.561 0.822
Pm 0.000 0.000 0.000
Se 0.439 0.822 0.413
Se 0.822 0.587 0.561
Se 0.087 0.322 0.061
Se 0.678 0.061 0.087

## Properties
Its volume is 599 Å³/cell. For the calculated total energy, the calculation gives -127.527 eV for the cell shown. The symmetry is R-3c. Its magnetization is 0.0 Bohr magnetons per cell. The uncorrected formation energy is -1726 meV/atom.